A relaxed ThGa2CoNi2 crystal. Source: Alexandria, functional PBE.

Cell and atoms, written as CIF:
```
data_ThGa2CoNi2
_symmetry_space_group_name_H-M 'P 1'
_symmetry_Int_Tables_number 1
_cell_length_a 4.481
_cell_length_b 4.481
_cell_length_c 5.092
_cell_angle_alpha 90.00
_cell_angle_beta 90.00
_cell_angle_gamma 90.00
loop_
_symmetry_equiv_pos_as_xyz
'x,y,z'
loop_
_atom_site_label
_atom_site_type_symbol
_atom_site_fract_x
_atom_site_fract_y
_atom_site_fract_z
Th1 Th 0.000 0.000 0.000
Ga1 Ga 0.000 0.500 0.500
Ga2 Ga 0.500 0.000 0.500
Co1 Co 0.000 0.000 0.500
Ni1 Ni 0.500 0.500 0.238
Ni2 Ni 0.500 0.500 0.762
```

E_form ... -5.84 kcal/mol of atoms
Energy ... -33.7 eV/cell

=====

A relaxed ThGaCoNi crystal. Source: Alexandria, functional PBE.

Cell and atoms, written as CIF:
```
data_ThGaCoNi
_symmetry_space_group_name_H-M 'P 1'
_symmetry_Int_Tables_number 1
_cell_length_a 5.181
_cell_length_b 5.181
_cell_length_c 5.181
_cell_angle_alpha 47.61
_cell_angle_beta 47.61
_cell_angle_gamma 47.61
loop_
_symmetry_equiv_pos_as_xyz
'x,y,z'
loop_
_atom_site_label
_atom_site_type_symbol
_atom_site_fract_x
_atom_site_fract_y
_atom_site_fract_z
Th1 Th 0.000 0.000 0.000
Ga1 Ga 0.505 0.505 0.505
Co1 Co 0.205 0.205 0.205
Ni1 Ni 0.795 0.795 0.795
```

E_form ... -11.26 kcal/mol of atoms
Energy ... -25.3 eV/cell

=====

A relaxed TmGa2CoNi crystal. Source: Alexandria, functional PBE.

Cell and atoms, written as CIF:
```
data_TmGa2CoNi
_symmetry_space_group_name_H-M 'P 1'
_symmetry_Int_Tables_number 1
_cell_length_a 5.805
_cell_length_b 5.805
_cell_length_c 5.805
_cell_angle_alpha 140.05
_cell_angle_beta 140.05
_cell_angle_gamma 57.78
loop_
_symmetry_equiv_pos_as_xyz
'x,y,z'
loop_
_atom_site_label
_atom_site_type_symbol
_atom_site_fract_x
_atom_site_fract_y
_atom_site_fract_z
Tm1 Tm 0.000 0.000 0.000
Ga1 Ga 0.376 0.376 0.000
Ga2 Ga 0.624 0.624 0.000
Co1 Co 0.750 0.250 0.500
Ni1 Ni 0.250 0.750 0.500
```

E_form ... -10.92 kcal/mol of atoms
Energy ... -25.8 eV/cell

=====

A relaxed Tm2Ga6CoNi crystal. Source: Alexandria, functional PBE.

Cell and atoms, written as CIF:
```
data_Tm2Ga6CoNi
_symmetry_space_group_name_H-M 'P 1'
_symmetry_Int_Tables_number 1
_cell_length_a 6.416
_cell_length_b 6.416
_cell_length_c 6.416
_cell_angle_alpha 60.00
_cell_angle_beta 60.00
_cell_angle_gamma 60.00
loop_
_symmetry_equiv_pos_as_xyz
'x,y,z'
loop_
_atom_site_label
_atom_site_type_symbol
_atom_site_fract_x
_atom_site_fract_y
_atom_site_fract_z
Tm1 Tm 0.250 0.250 0.250
Tm2 Tm 0.750 0.750 0.750
Ga1 Ga 0.250 0.250 0.750
Ga2 Ga 0.250 0.750 0.250
Ga3 Ga 0.250 0.750 0.750
Ga4 Ga 0.750 0.250 0.250
Ga5 Ga 0.750 0.250 0.750
Ga6 Ga 0.750 0.750 0.250
Co1 Co 0.000 0.000 0.000
Ni1 Ni 0.500 0.500 0.500
```

E_form ... -6.39 kcal/mol of atoms
Energy ... -42.8 eV/cell